{"formula": "Sr3ZnSn2", "functional": "GGA-PBE", "state": "relaxed", "e_form_ev_per_atom": -0.56, "m_tot_mub_per_fu": 0.22, "sg": "Pnma, No. 62", "cell": [[13.174, 0.000, 0.000], [0.000, 4.707, 0.000], [0.000, 0.000, 13.255]], "species": ["Sr", "Sr", "Sr", "Sr", "Sr", "Sr", "Sr", "Sr", "Sr", "Sr", "Sr", "Sr", "Zn", "Zn", "Zn", "Zn", "Sn", "Sn", "Sn", "Sn", "Sn", "Sn", "Sn", "Sn"], "fractional_positions": [[0.057, 0.250, 0.122], [0.122, 0.750, 0.559], [0.208, 0.250, 0.803], [0.292, 0.750, 0.303], [0.378, 0.250, 0.059], [0.443, 0.750, 0.622], [0.557, 0.250, 0.378], [0.622, 0.750, 0.941], [0.708, 0.250, 0.697], [0.792, 0.750, 0.197], [0.878, 0.250, 0.441], [0.943, 0.750, 0.878], [0.130, 0.250, 0.371], [0.370, 0.750, 0.871], [0.630, 0.250, 0.129], [0.870, 0.750, 0.629], [0.028, 0.750, 0.315], [0.195, 0.750, 0.990], [0.305, 0.250, 0.490], [0.472, 0.250, 0.815], [0.528, 0.750, 0.185], [0.695, 0.750, 0.510], [0.805, 0.250, 0.010], [0.972, 0.250, 0.685]]}